No. 1
The following is a PBE calculation of SiSe2BrO after structural relaxation, from the Alexandria database.

Lattice parameters (Å, degrees): 4.145 4.145 5.996 90.00 90.00 90.00
Space group P4/mmm (No. 123)
Unique sites:
Si 0.000 0.000 0.000 x1
Se 0.000 0.500 0.500 x2
Br 0.500 0.500 0.000 x1
O 0.500 0.500 0.500 x1

Results
theoretical density	4.5	g/cm3
volume	20.60	A^3/atom
E_form (uncorrected)	0.46	eV/atom
energy relative to the lowest polymorph listed for this composition	0.00	eV/f.u.
final energy	-16.74	eV for the cell shown

No. 2
The following is a PBE calculation of SnSeBr2O after structural relaxation, from the Alexandria database.

Lattice parameters (Å, degrees): 5.468 5.468 5.464 90.00 90.00 90.00
Space group P4/mmm (No. 123)
Unique sites:
Sn 0.000 0.000 0.000 x1
Se 0.000 0.000 0.500 x1
Br 0.000 0.500 0.000 x2
O 0.500 0.500 0.500 x1

Results
theoretical density	3.8	g/cm3
volume	32.68	A^3/atom
E_form (uncorrected)	0.58	eV/atom
energy relative to the lowest polymorph listed for this composition	1.98	eV/f.u.
final energy	-12.91	eV for the cell shown

No. 3
The following is a PBE calculation of SnSeBr2O after structural relaxation, from the Alexandria database.

Lattice parameters (Å, degrees): 4.874 4.874 4.589 90.00 90.00 90.00
Space group P4/mmm (No. 123)
Unique sites:
Sn 0.000 0.000 0.000 x1
Se 0.500 0.500 0.000 x1
Br 0.000 0.500 0.500 x2
O 0.500 0.500 0.500 x1

Results
theoretical density	5.7	g/cm3
volume	21.80	A^3/atom
E_form (uncorrected)	0.18	eV/atom
energy relative to the lowest polymorph listed for this composition	0.00	eV/f.u.
final energy	-14.89	eV for the cell shown

No. 4
The following is a PBE calculation of SrSeBrO4 after structural relaxation, from the Alexandria database.

Lattice parameters (Å, degrees): 12.157 6.755 7.199 90.00 100.93 90.00
Space group C2/m (No. 12)
Unique sites:
Sr 0.201 0.000 0.310 x4
Se 0.140 0.000 0.750 x4
Br 0.014 0.500 0.163 x4
O 0.003 0.000 0.744 x4
O 0.177 0.195 0.628 x8
O 0.210 0.000 0.970 x4

Results
theoretical density	3.6	g/cm3
volume	20.73	A^3/atom
E_form (uncorrected)	-1.36	eV/atom
final energy	-144.82	eV for the cell shown

No. 5
The following is a PBE calculation of TaSeBr2O after structural relaxation, from the Alexandria database.

Lattice parameters (Å, degrees): 5.542 5.542 3.755 90.00 90.00 90.00
Space group P4/mmm (No. 123)
Unique sites:
Ta 0.000 0.000 0.000 x1
Se 0.500 0.500 0.000 x1
Br 0.000 0.500 0.500 x2
O 0.000 0.000 0.500 x1

Results
theoretical density	6.3	g/cm3
volume	23.07	A^3/atom
E_form (uncorrected)	0.16	eV/atom
energy relative to the lowest polymorph listed for this composition	0.00	eV/f.u.
final energy	-22.87	eV for the cell shown

No. 6
The following is a PBE calculation of TaSeBr2O after structural relaxation, from the Alexandria database.

Lattice parameters (Å, degrees): 4.590 4.590 4.454 90.00 90.00 90.00
Space group P4/mmm (No. 123)
Unique sites:
Ta 0.000 0.000 0.000 x1
Se 0.500 0.500 0.000 x1
Br 0.000 0.500 0.500 x2
O 0.500 0.500 0.500 x1

Results
theoretical density	7.7	g/cm3
volume	18.77	A^3/atom
E_form (uncorrected)	1.01	eV/atom
energy relative to the lowest polymorph listed for this composition	4.26	eV/f.u.
final energy	-18.60	eV for the cell shown